The following is a PBE calculation of an optimized crystal structure of YMn2N, from the Alexandria database.

The structure in CIF format:
```
data_YMn2N
_cell_length_a 5.840
_cell_length_b 5.840
_cell_length_c 8.260
_cell_angle_alpha 90.00
_cell_angle_beta 90.00
_cell_angle_gamma 90.00
_symmetry_space_group_name_H-M 'I -4 2 d'
_symmetry_Int_Tables_number 122
_symmetry_space_group_name_Hall 'I -4 2bw'
loop_
_atom_site_label
_atom_site_type_symbol
_atom_site_fract_x
_atom_site_fract_y
_atom_site_fract_z
_atom_site_occupancy
Y1 Y 0.000 0.000 0.000 1
Mn1 Mn 0.003 0.750 0.625 1
N1 N 0.000 0.000 0.500 1
```

Computed properties:
crystal system = tetragonal
E_tot = -134.3 eV per cell
total magnetic moment = 15.8 Bohr magnetons per cell